# MnInSb2 PBE relaxed
# * formation energy without anion corrections: 0.228 eV per atom
data_MnInSb2
_cell_length_a 3.191
_cell_length_b 3.191
_cell_length_c 9.164
_cell_angle_alpha 90.00
_cell_angle_beta 90.00
_cell_angle_gamma 90.00
_space_group_name_H-M_alt 'P 4 m m'
_space_group_IT_number 99
_space_group_name_Hall 'P 4 -2'
loop_
_atom_site_label
_atom_site_type_symbol
_atom_site_fract_x
_atom_site_fract_y
_atom_site_fract_z
Mn1 Mn 0.000 0.000 0.000
In1 In 0.500 0.500 0.800
Sb1 Sb 0.000 0.000 0.523
Sb2 Sb 0.500 0.500 0.195

***

# Bi2H3I PBE relaxed
# * E: -3.07 eV per atom
data_Bi2H3I
_cell_length_a 6.356
_cell_length_b 7.261
_cell_length_c 7.954
_cell_angle_alpha 105.11
_cell_angle_beta 97.86
_cell_angle_gamma 112.28
_space_group_name_H-M_alt 'P -1'
_space_group_IT_number 2
_space_group_name_Hall '-P 1'
loop_
_atom_site_label
_atom_site_type_symbol
_atom_site_fract_x
_atom_site_fract_y
_atom_site_fract_z
Bi1 Bi 0.112 0.219 0.479
Bi2 Bi 0.246 0.828 0.963
H1 H 0.179 0.892 0.721
H2 H 0.226 0.103 0.299
H3 H 0.328 0.636 0.821
I1 I 0.351 0.654 0.275

***

# TbPaCuGe PBE relaxed
# * energy of formation: -196 meV per atom
data_TbPaCuGe
_cell_length_a 7.021
_cell_length_b 7.021
_cell_length_c 7.021
_cell_angle_alpha 90.00
_cell_angle_beta 90.00
_cell_angle_gamma 90.00
_space_group_name_H-M_alt 'F -4 3 m'
_space_group_IT_number 216
_space_group_name_Hall 'F -4 2 3'
loop_
_atom_site_label
_atom_site_type_symbol
_atom_site_fract_x
_atom_site_fract_y
_atom_site_fract_z
Tb1 Tb 0.000 0.000 0.000
Pa1 Pa 0.000 0.000 0.500
Cu1 Cu 0.250 0.250 0.250
Ge1 Ge 0.250 0.250 0.750